No. 1
## GeICl3 (GGA-PBE)

Data for crystalline GeICl3 at its relaxed geometry.

Properties
Its formation energy from raw total energies is -0.76 eV per atom. The value obtained for the size of the total moment is 0.0 μB per formula unit. The relative energy among the computed polymorphs comes out at 2 meV/atom. As for the uncorrected energy: -3.10 eV/atom.

Cell: 8.2457 17.0665 7.2443 Å, 90.00 90.00 90.00°
Closest atoms and distances in Å follow each position.
Space group Ima2 (No. 46)
One atom of each set of equivalent atoms:
1 Ge 0.2500 0.1130 0.0000 [4 per cell]  3 Cl 2.15-2.16
2 I 0.2500 0.0725 0.3320 [4 per cell]  1 Ge 2.50
3 Cl 0.0393 0.1812 0.9331 [8 per cell]  1 Ge 2.15
4 Cl 0.2500 0.0114 0.8228 [4 per cell]  1 Ge 2.16

=====

No. 2
## LiHoMg5 (GGA-PBE)

Data for crystalline LiHoMg5 at its relaxed geometry.

Properties
The value obtained for the size of the total moment is 0.0 μB per formula unit. The relative energy among the computed polymorphs comes out at 0 meV/atom. As for the uncorrected energy: -2.04 eV/atom. For the formation energy, the calculation gives 0.022 eV per atom.

Cell: 4.6401 4.6401 8.0224 Å, 90.00 90.00 90.00°
Closest atoms and distances in Å follow each position.
Space group P4/mmm (No. 123)
One atom of each set of equivalent atoms:
1 Li 0.0000 0.0000 0.0000 [1 per cell]  8 Mg 2.87
2 Ho 0.0000 0.0000 0.5000 [1 per cell]  12 Mg 3.28
3 Mg 0.0000 0.5000 0.2109 [4 per cell]  2 Li 2.87
4 Mg 0.5000 0.5000 0.5000 [1 per cell]  8 Mg 3.28, 4 Ho 3.28

=====

No. 3
## CoPt2Au2 (GGA-PBE)

Data for crystalline CoPt2Au2 at its relaxed geometry.

Properties
The value obtained for the size of the total moment is 3.0 μB per formula unit. As for the uncorrected energy: -4.87 eV/atom. For the formation energy, the calculation gives 0.279 eV per atom.

Cell: 6.4688 6.4688 4.1402 Å, 90.00 90.00 90.00°
Closest atoms and distances in Å follow each position.
Space group P4/mbm (No. 127)
One atom of each set of equivalent atoms:
1 Co 0.0000 0.0000 0.0000 [2 per cell]  4 Pt 2.49
2 Pt 0.1434 0.3566 0.0000 [4 per cell]  2 Co 2.49, 1 Pt 2.62, 2 Au 2.72
3 Au 0.1631 0.6631 0.5000 [4 per cell]  6 Pt 2.72-2.87, 1 Au 2.98

=====

No. 4
## Nd4YEr7 (GGA-PBE)

Data for crystalline Nd4YEr7 at its relaxed geometry.

Properties
The value obtained for the size of the total moment is 0.0 μB per formula unit. The relative energy among the computed polymorphs comes out at 0 meV/atom. As for the uncorrected energy: -4.70 eV/atom. For the formation energy, the calculation gives 0.087 eV per atom.

Cell: 6.5608 6.8396 9.0446 Å, 84.61 77.22 81.41°
Closest atoms and distances in Å follow each position.
Space group P-1 (No. 2)
One atom of each set of equivalent atoms:
1 Nd 0.1382 0.3071 0.2868 [2 per cell]  8 Er 3.33-3.69, 1 Y 3.42, 2 Nd 3.51-3.55
2 Nd 0.3348 0.8857 0.6925 [2 per cell]  7 Er 3.39-3.71, 2 Nd 3.51-3.55
3 Y 0.5000 0.5000 0.0000 [1 per cell]  2 Nd 3.42, 4 Er 3.42-3.49
4 Er 0.0128 0.2524 0.9514 [2 per cell]  5 Er 3.36-3.55, 4 Nd 3.38-3.68, 1 Y 3.49
5 Er 0.1819 0.7976 0.3556 [2 per cell]  5 Er 3.37-3.70, 4 Nd 3.46-3.54
6 Er 0.3133 0.3951 0.6181 [2 per cell]  5 Er 3.28-3.64, 4 Nd 3.33-3.57
7 Er 0.5000 0.0000 0.0000 [1 per cell]  4 Nd 3.39-3.69, 2 Y 3.42, 4 Er 3.50-3.70

=====

No. 5
## ZrBi2NO (GGA-PBE)

Data for crystalline ZrBi2NO at its relaxed geometry.

Properties
Its formation energy from raw total energies is 0.45 eV per atom. The value obtained for the size of the total moment is 0.0 μB per formula unit. As for the uncorrected energy: -5.47 eV/atom.

Cell: 5.0702 5.0702 4.1362 Å, 90.00 90.00 90.00°
Closest atoms and distances in Å follow each position.
Space group P4/mmm (No. 123)
One atom of each set of equivalent atoms:
1 Zr 0.0000 0.0000 0.0000 [1 per cell]  2 O 2.07
2 Bi 0.0000 0.5000 0.5000 [2 per cell]  2 O 2.54
3 N 0.5000 0.5000 0.0000 [1 per cell]  8 Bi 3.27, 4 Zr 3.59
4 O 0.0000 0.0000 0.5000 [1 per cell]  2 Zr 2.07

=====

No. 6
## SrAs2Ir2 (GGA-PBE)

Data for crystalline SrAs2Ir2 at its relaxed geometry.

Properties
The value obtained for the size of the total moment is 0.0 μB per formula unit. As for the uncorrected energy: -6.21 eV/atom. For the formation energy, the calculation gives -0.466 eV per atom.

Cell: 6.0732 6.1092 7.1449 Å, 65.24 79.18 62.73°
Closest atoms and distances in Å follow each position.
Space group P-1 (No. 2)
One atom of each set of equivalent atoms:
1 Sr 0.2479 0.3736 0.2525 [2 per cell]  8 As 3.33-3.70, 6 Ir 3.35-3.53
2 As 0.2502 0.9796 0.0413 [2 per cell]  4 Ir 2.46-2.47
3 As 0.2553 0.7333 0.5275 [2 per cell]  4 Ir 2.43-2.54
4 Ir 0.1045 0.0156 0.7251 [2 per cell]  4 As 2.43-2.54
5 Ir 0.3902 0.2584 0.7258 [2 per cell]  4 As 2.43-2.54

=====

No. 7
## Sm4AlIn2 (GGA-PBE)

Data for crystalline Sm4AlIn2 at its relaxed geometry.

Properties
The value obtained for the size of the total moment is 0.0 μB per formula unit. The relative energy among the computed polymorphs comes out at 0 meV/atom. As for the uncorrected energy: -4.29 eV/atom. For the formation energy, the calculation gives -0.280 eV per atom.

Cell: 5.2926 5.2926 25.9636 Å, 90.00 90.00 120.00°
Closest atoms and distances in Å follow each position.
Space group R-3m (No. 166, hexagonal axes)
One atom of each set of equivalent atoms:
1 Sm 0.0000 0.0000 0.1225 [6 per cell]  4 In 3.22-3.31, 3 Al 3.26
2 Sm 0.0000 0.0000 0.3738 [6 per cell]  4 In 3.21-3.25, 1 Al 3.28
3 Al 0.0000 0.0000 0.5000 [3 per cell]  8 Sm 3.26-3.28
4 In 0.0000 0.0000 0.2501 [6 per cell]  8 Sm 3.21-3.31

=====

No. 8
## AsH3Pd (GGA-PBE)

Data for crystalline AsH3Pd at its relaxed geometry.

Properties
The value obtained for the size of the total moment is 0.0 μB per formula unit. The relative energy among the computed polymorphs comes out at 121 meV/atom. As for the uncorrected energy: -3.34 eV/atom.

Cell: 3.6584 3.6584 3.6584 Å, 90.00 90.00 90.00°
Closest atoms and distances in Å follow each position.
Space group Pm-3m (No. 221)
One atom of each set of equivalent atoms:
1 As 0.0000 0.0000 0.0000 [1 per cell]  6 H 1.83
2 H 0.0000 0.0000 0.5000 [3 per cell]  2 As 1.83
3 Pd 0.5000 0.5000 0.5000 [1 per cell]  12 H 2.59